Compound: CaTeIN2
Source: Alexandria
Functional: PBE
Structure: relaxed

Geometry as POSCAR:
```
CaTeIN2
1.0
4.717 0.000 0.000
0.000 4.717 0.000
0.000 0.000 6.625
Ca Te I N
1 1 1 2
Direct
0.000 0.000 0.000 Ca
0.000 0.000 0.500 Te
0.500 0.500 0.500 I
0.000 0.500 0.000 N
0.500 0.000 0.000 N
```

Summary:
Energy above the lowest structure with this stoichiometry, eV per atom: 0.352
ΔE_f (raw), kJ per mole of atoms: 109
DFT total energy, eV per formula unit: -17.67

***

Compound: CaTe2IN
Source: Alexandria
Functional: PBE
Structure: relaxed

Geometry as POSCAR:
```
CaTe2IN
1.0
6.016 0.000 0.000
0.000 6.016 0.000
0.000 0.000 4.029
Ca Te I N
1 2 1 1
Direct
0.000 0.000 0.000 Ca
0.000 0.500 0.500 Te
0.500 0.000 0.500 Te
0.500 0.500 0.500 I
0.500 0.500 0.000 N
```

Summary:
Energy above the lowest structure with this stoichiometry, eV per atom: 0.425
ΔE_f (raw), kJ per mole of atoms: 47
DFT total energy, eV per formula unit: -15.73

***

Compound: CaTeIN2
Source: Alexandria
Functional: PBE
Structure: relaxed

Geometry as POSCAR:
```
CaTeIN2
1.0
4.291 0.000 0.000
0.000 4.291 0.000
0.000 0.000 6.200
Ca Te I N
1 1 1 2
Direct
0.000 0.000 0.000 Ca
0.500 0.500 0.000 Te
0.500 0.500 0.500 I
0.000 0.500 0.500 N
0.500 0.000 0.500 N
```

Summary:
Energy above the lowest structure with this stoichiometry, eV per atom: 0.314
ΔE_f (raw), kJ per mole of atoms: 106
DFT total energy, eV per formula unit: -17.86